A plane-wave DFT calculation with PBE-GGA was carried out for an optimized crystal structure of SrNb3N.

Properties
Space group: Pm-3m
Uncorrected formation energy in kJ per mole of atoms: 18.33
Crystal system: cubic
Magnetic moment in μB/atom: 0.00
Distance to the lowest polymorph of the same formula in meV per atom: 0
E in eV/atom: -7.853

Structure (POSCAR):
```
SrNb3N
1.0
4.4804 0.0000 0.0000
0.0000 4.4804 0.0000
0.0000 0.0000 4.4804
Nb N Sr
3 1 1
direct
0.5000 0.0000 0.0000
0.0000 0.5000 0.0000
0.0000 0.0000 0.5000
0.0000 0.0000 0.0000
0.5000 0.5000 0.5000
```

=====

A plane-wave DFT calculation with PBE-GGA was carried out for an optimized crystal structure of SrNb3N.

Properties
Space group: Pm-3m
Uncorrected formation energy in kJ per mole of atoms: 348.85
Crystal system: cubic
Magnetic moment in μB/atom: 0.00
Distance to the lowest polymorph of the same formula in meV per atom: 3426
E in eV/atom: -4.428

Structure (POSCAR):
```
SrNb3N
1.0
-2.2603 -0.8425 -4.1732
2.8804 -3.7820 -0.7965
-3.1351 -2.8673 2.2769
N Nb Sr
1 3 1
direct
0.5000 0.5000 0.5000
0.0000 0.0000 0.5000
0.5000 0.0000 0.0000
0.0000 0.5000 0.0000
0.0000 0.0000 0.0000
```

=====

A plane-wave DFT calculation with PBE-GGA was carried out for an optimized crystal structure of Sr5NbN6.

Properties
Space group: C2/m
Uncorrected formation energy in kJ per mole of atoms: -49.18
Crystal system: monoclinic
Magnetic moment in μB/atom: 0.25
E in eV/atom: -6.212

Structure (POSCAR):
```
Sr5NbN6
1.0
-6.1614 0.4900 -1.0795
-2.7545 -5.6189 0.8888
-2.2029 -1.5703 5.7194
Sr N Nb
5 6 1
direct
0.0000 0.3333 0.3335
0.5000 0.1616 0.6768
0.5000 0.8384 0.3232
0.0000 0.6667 0.6665
0.5000 0.5000 0.0000
0.7805 0.0731 0.2811
0.7805 0.3542 0.7189
0.2195 0.6458 0.2811
0.7888 0.7911 0.0000
0.2112 0.2089 0.0000
0.2195 0.9269 0.7189
0.0000 0.0000 0.0000
```